# CoTePbI2 PBE optimized geometry
# Excess energy over the best structure of this formula in the dataset: 704.8 meV/atom
# D(E_F): 15.15 states/eV/cell
# Total magnetic moment: 2.09 μB per cell
# Mass density: 4.7 Mg/m³
# Energy relative to the elements, uncorrected: 0.827 eV per atom
data_CoTePbI2
_chemical_formula_sum 'Co1 Te1 Pb1 I2'
_space_group_name_H-M_alt 'P 4/m m m'
_space_group_IT_number 123
_space_group_name_Hall '-P 4 2'
_cell_length_a 6.126
_cell_length_b 6.126
_cell_length_c 6.034
_cell_angle_alpha 90.00
_cell_angle_beta 90.00
_cell_angle_gamma 90.00
loop_
_atom_site_label
_atom_site_type_symbol
_atom_site_fract_x
_atom_site_fract_y
_atom_site_fract_z
_atom_site_occupancy
Co1 Co 0.000 0.000 0.000 1
Te1 Te 0.500 0.500 0.000 1
Pb1 Pb 0.500 0.500 0.500 1
I1 I 0.000 0.500 0.500 1

***

# TbYMgMn PBE optimized geometry
# D(E_F): 20.27 states/eV/cell
# Formation energy from the elements: 0.09 eV per atom
# Total magnetic moment: 12.81 μB per cell
# Mass density: 5.5 Mg/m³
data_TbYMgMn
_chemical_formula_sum 'Tb4 Y4 Mg4 Mn4'
_space_group_name_H-M_alt 'F -4 3 m'
_space_group_IT_number 216
_space_group_name_Hall 'F -4 2 3'
_cell_length_a 7.356
_cell_length_b 7.356
_cell_length_c 7.356
_cell_angle_alpha 90.00
_cell_angle_beta 90.00
_cell_angle_gamma 90.00
loop_
_atom_site_label
_atom_site_type_symbol
_atom_site_fract_x
_atom_site_fract_y
_atom_site_fract_z
_atom_site_occupancy
Tb1 Tb 0.000 0.000 0.000 1
Y1 Y 0.000 0.000 0.500 1
Mg1 Mg 0.250 0.250 0.250 1
Mn1 Mn 0.250 0.250 0.750 1

***

# LiPPb2 PBE optimized geometry
# D(E_F): 4.29 states/eV/cell
# Formation energy from the elements: 0.09 eV per atom
# Total magnetic moment: 0.00 μB per cell
# Mass density: 7.8 Mg/m³
data_LiPPb2
_chemical_formula_sum 'Li2 P2 Pb4'
_space_group_name_H-M_alt 'I 4/m m m'
_space_group_IT_number 139
_space_group_name_Hall '-I 4 2'
_cell_length_a 4.583
_cell_length_b 4.583
_cell_length_c 9.190
_cell_angle_alpha 90.00
_cell_angle_beta 90.00
_cell_angle_gamma 90.00
loop_
_atom_site_label
_atom_site_type_symbol
_atom_site_fract_x
_atom_site_fract_y
_atom_site_fract_z
_atom_site_occupancy
Li1 Li 0.000 0.000 0.000 1
P1 P 0.000 0.000 0.500 1
Pb1 Pb 0.000 0.500 0.250 1

***

# La7Pm2Zn2 PBE optimized geometry
# D(E_F): 31.68 states/eV/cell
# Formation energy from the elements: 0.01 eV per atom
# Total magnetic moment: 0.05 μB per cell
# Mass density: 6.2 Mg/m³
data_La7Pm2Zn2
_chemical_formula_sum 'La14 Pm4 Zn4'
_space_group_name_H-M_alt 'I m m 2'
_space_group_IT_number 44
_cell_length_a 3.777
_cell_length_b 17.370
_cell_length_c 11.315
_cell_angle_alpha 90.00
_cell_angle_beta 90.00
_cell_angle_gamma 90.00
loop_
_space_group_symop_operation_xyz
'x,y,z'
'-x,-y,z'
'-x,y,z'
'x,-y,z'
'x+1/2,y+1/2,z+1/2'
'-x+1/2,-y+1/2,z+1/2'
'-x+1/2,y+1/2,z+1/2'
'x+1/2,-y+1/2,z+1/2'
loop_
_atom_site_label
_atom_site_type_symbol
_atom_site_fract_x
_atom_site_fract_y
_atom_site_fract_z
_atom_site_occupancy
La1 La 0.000 0.000 0.000 1
La2 La 0.000 0.100 0.433 1
La3 La 0.000 0.325 0.679 1
La4 La 0.000 0.359 0.217 1
Pm1 Pm 0.000 0.224 0.944 1
Zn1 Zn 0.000 0.000 0.684 1
Zn2 Zn 0.000 0.500 0.745 1

***

# NbBiMo2W PBE optimized geometry
# D(E_F): 9.48 states/eV/cell
# Formation energy from the elements: 2.27 eV per atom
# Total magnetic moment: 0.00 μB per cell
# Mass density: 9.8 Mg/m³
data_NbBiMo2W
_chemical_formula_sum 'Nb1 Bi1 Mo2 W1'
_space_group_name_H-M_alt 'P 4/m m m'
_space_group_IT_number 123
_space_group_name_Hall '-P 4 2'
_cell_length_a 4.693
_cell_length_b 4.693
_cell_length_c 5.211
_cell_angle_alpha 90.00
_cell_angle_beta 90.00
_cell_angle_gamma 90.00
loop_
_atom_site_label
_atom_site_type_symbol
_atom_site_fract_x
_atom_site_fract_y
_atom_site_fract_z
_atom_site_occupancy
Nb1 Nb 0.000 0.000 0.000 1
Bi1 Bi 0.000 0.000 0.500 1
Mo1 Mo 0.000 0.500 0.000 1
W1 W 0.500 0.500 0.500 1

***

# Er2CdCuPd4 PBE optimized geometry
# D(E_F): 9.17 states/eV/cell
# Formation energy from the elements: -0.68 eV per atom
# Total magnetic moment: 0.00 μB per cell
# Mass density: 10.6 Mg/m³
data_Er2CdCuPd4
_chemical_formula_sum 'Er6 Cd3 Cu3 Pd12'
_space_group_name_H-M_alt 'R -3 m'
_space_group_IT_number 166
_space_group_name_Hall '-R 3 2"'
_cell_length_a 4.7139
_cell_length_b 4.7139
_cell_length_c 22.8297
_cell_angle_alpha 90.00
_cell_angle_beta 90.00
_cell_angle_gamma 120.00
loop_
_atom_site_label
_atom_site_type_symbol
_atom_site_fract_x
_atom_site_fract_y
_atom_site_fract_z
_atom_site_occupancy
Er1 Er 0.0000 0.0000 0.2476 1
Cd1 Cd 0.0000 0.0000 0.0000 1
Cu1 Cu 0.0000 0.0000 0.5000 1
Pd1 Pd 0.0000 0.0000 0.1262 1
Pd2 Pd 0.0000 0.0000 0.3792 1

***

Number 1: energy -12.9 eV/cell. Number 2: energy -86.0 eV/cell. Number 3: energy -28.7 eV/cell. Number 4: energy -92.9 eV/cell. Number 5: energy -37.2 eV/cell. Number 6: energy -121.0 eV/cell.